The following is a DFT calculation (PBE) of a relaxed structure of BeFe3Hg.

Calculated values
Crystal system   cubic
Formation enthalpy at 0 K   1.952 eV/atom
Uncorrected energy   -0.289 Ry/atom

Lattice parameters (Å, degrees): 4.7974 4.7974 4.7974 90.00 90.00 90.00
Closest atoms and distances in Å follow each position.
Element x y z (fractional)
Be 0.5000 0.5000 0.5000  12 Fe 3.39
Fe 0.0000 0.0000 0.5000  2 Hg 2.40
Fe 0.5000 0.0000 0.0000  2 Hg 2.40
Fe 0.0000 0.5000 0.0000  2 Hg 2.40
Hg 0.0000 0.0000 0.0000  6 Fe 2.40